## CeSc5 (GGA-PBE)

Data for crystalline CeSc5 at its relaxed geometry.

```
CeSc5
1.0
5.2539 0.0000 0.0000
-2.6270 4.4730 -0.8294
0.0000 1.1515 6.2020
Ce Sc
1 5
direct
0.6944 0.3889 0.8888
0.0278 0.0555 0.1449
0.6944 0.3889 0.3889
0.3611 0.7223 0.6328
0.3611 0.7222 0.1429
0.0278 0.0556 0.6349
```

Space-group type = P-3m1, No. 164
Total moment = 0.1 μB per cell
Energy relative to the elements = 53 meV per atom
Total energy = -37.27 eV/cell